## Tc4W3 (GGA-PBEsol)

Data for a geometry-optimized Tc4W3 structure.

Output
Crystal system: tetragonal
Energy of formation from the pure elements in eV/atom: 0.110
V in Å³ per atom: 14.88

abc: 3.0978 3.0978 21.7068
angles: 90.00 90.00 90.00
Last column: nearest neighbours and their distance in Å.
Space group I4/mmm (No. 139)
One atom of each set of equivalent atoms:
Tc  0.0000  0.0000  0.0677  4 W 2.64, 5 Tc 2.76-2.94
Tc  0.0000  0.0000  0.3546  4 W 2.63, 4 Tc 2.76
W  0.0000  0.0000  0.2126  4 Tc 2.63, 4 W 2.73
W  0.0000  0.0000  0.5000  8 Tc 2.64